(1)
Here is a geometry-optimized ScNbCr2 structure from Alexandria via LeMat-Bulk. Energies are from GGA-PBE.

Energy relative to the elements (kJ/mol of formula units): 303
Magnetic moment (μB/f.u.): 0.00

a b c (Å): 6.9252 6.9252 5.4982
angles (deg): 90.00 90.00 90.00
Closest atoms and distances in Å follow each position.
Space group I-42d (No. 122)
Inequivalent atoms, fractional coordinates:
Sc 0.0000 0.0000 0.0000 (multiplicity 4)  4 Cr 2.63, 2 Nb 2.75
Nb 0.0000 0.0000 0.5000 (multiplicity 4)  4 Cr 2.46, 2 Sc 2.75
Cr 0.2329 0.2500 0.6250 (multiplicity 8)  2 Nb 2.46, 2 Sc 2.63, 2 Cr 2.76

(2)
Here is a geometry-optimized SrScNbCr2 structure from Alexandria via LeMat-Bulk. Energies are from GGA-PBE.

Energy relative to the elements (kJ/mol of formula units): 1049
Magnetic moment (μB/f.u.): 5.01

a b c (Å): 4.8569 4.8569 4.9591
angles (deg): 90.00 90.00 90.00
Closest atoms and distances in Å follow each position.
Space group P4/mmm (No. 123)
Inequivalent atoms, fractional coordinates:
Sr 0.0000 0.0000 0.0000 (multiplicity 1)  4 Cr 2.43, 2 Sc 2.48
Sc 0.0000 0.0000 0.5000 (multiplicity 1)  2 Sr 2.48
Nb 0.5000 0.5000 0.5000 (multiplicity 1)  4 Sc 3.43, 8 Cr 3.47
Cr 0.0000 0.5000 0.0000 (multiplicity 2)  2 Sr 2.43

(3)
Here is a geometry-optimized NbCrSe2 structure from Alexandria via LeMat-Bulk. Energies are from GGA-PBE.

Magnetic moment (μB/f.u.): 5.05
E_form (uncorrected) (eV/atom): -0.056
ΔE to the lowest computed polymorph (meV/atom): 176.2

a b c (Å): 5.9256 5.9256 11.2014
angles (deg): 90.00 90.00 90.00
Closest atoms and distances in Å follow each position.
Space group I-42d (No. 122)
Inequivalent atoms, fractional coordinates:
Nb 0.0000 0.0000 0.0000 (multiplicity 4)  4 Se 2.54
Cr 0.0000 0.0000 0.5000 (multiplicity 4)  4 Se 2.50
Se 0.2441 0.2500 0.6250 (multiplicity 8)  2 Cr 2.50, 2 Nb 2.54

(4)
Here is a geometry-optimized Nb2CrSe4 structure from Alexandria via LeMat-Bulk. Energies are from GGA-PBE.

Magnetic moment (μB/f.u.): 3.16
E_form (uncorrected) (eV/atom): -0.751
ΔE to the lowest computed polymorph (meV/atom): 0.0

a b c (Å): 13.6991 3.5292 6.3875
angles (deg): 90.00 115.61 90.00
Closest atoms and distances in Å follow each position.
Space group C2/m (No. 12)
Inequivalent atoms, fractional coordinates:
Nb 0.2432 0.0000 0.1793 (multiplicity 4)  6 Se 2.58-2.86
Cr 0.0000 0.5000 0.5000 (multiplicity 2)  6 Se 2.56-2.62
Se 0.1001 0.5000 0.9444 (multiplicity 4)  1 Cr 2.56, 3 Nb 2.58-2.59
Se 0.1357 0.0000 0.4760 (multiplicity 4)  2 Cr 2.62, 3 Nb 2.75-2.86